(1)
First-principles (PBE) data for a relaxed HfAlAg crystal, as listed in the Alexandria database.

a b c (Å): 6.113 4.199 8.633
angles (deg): 90.00 90.00 90.00
Space group Pnma (No. 62)
Symmetry-distinct sites (fractional):
Hf (0.143, 0.250, 0.086)
Al (0.090, 0.250, 0.742)
Ag (0.132, 0.250, 0.416)

(2)
First-principles (PBE) data for a relaxed Y3Tm8Th2 crystal, as listed in the Alexandria database.

a b c (Å): 6.577 17.274 7.600
angles (deg): 90.00 106.61 90.00
Space group P2_1/c (No. 14)
Symmetry-distinct sites (fractional):
Y (0.000, 0.000, 0.000)
Y (0.397, 0.246, 0.096)
Tm (0.141, 0.115, 0.321)
Tm (0.146, 0.738, 0.539)
Tm (0.369, 0.581, 0.872)
Tm (0.413, 0.572, 0.349)
Th (0.156, 0.109, 0.742)

Output
Distance to the lowest polymorph of the same formula = 0.0 kJ per mole of atoms

Energy of formation, respectively: -0.154 0.180 eV per atom.